## NbAlReOs (GGA-PBE)

Data for a relaxed NbAlReOs crystal.

The value obtained for the formation energy is -0.288 eV/atom. The space group is No. 216. As for the total energy: -9.66 eV per atom. The density of states at the Fermi level is 0.589 states/eV per atom.

abc: 4.4258 4.4258 4.4258
angles: 60.00 60.00 60.00
With the nearest neighbours (Å) after each atom.
Element x y z (fractional)
Nb 0.0000 0.0000 0.0000  4 Re 2.71, 4 Os 2.71
Al 0.5000 0.5000 0.5000  4 Re 2.71, 4 Os 2.71
Re 0.7500 0.7500 0.7500  4 Al 2.71, 4 Nb 2.71
Os 0.2500 0.2500 0.2500  4 Nb 2.71, 4 Al 2.71